{
  "formula": "InBiSe2",
  "functional": "PBE",
  "state": "optimized geometry",
  "raw_formation_energy_ev_per_fu": -1.5,
  "space_group": "No. 12",
  "mass_density_g_cm3": 6.27,
  "total_magnetization_mub_per_fu": 0.000,
  "cell": [[-1.829, 0.739, -3.678], [3.456, -5.321, -2.788], [-7.190, -5.552, 0.086]],
  "species": ["Se", "Se", "Se", "Se", "Bi", "Bi", "In", "In"],
  "fractional_positions": [[0.450, 0.997, 0.476], [0.953, 0.486, 0.470], [0.625, 0.345, 0.128], [0.122, 0.855, 0.134], [0.289, 0.004, 0.799], [0.786, 0.336, 0.805], [0.537, 0.671, 0.302], [0.037, 0.171, 0.302]]
}

---

{
  "formula": "InAg4Au5",
  "functional": "PBE",
  "state": "optimized geometry",
  "relative_energy_mev_per_atom": 0,
  "space_group": "No. 123",
  "mass_density_g_cm3": 13.68,
  "total_magnetization_mub_per_fu": 0.000,
  "cell": [[3.526, 0.000, 0.000], [0.000, 3.526, 0.000], [0.000, 0.000, 14.952]],
  "species": ["Au", "Au", "Au", "Au", "Au", "Ag", "Ag", "Ag", "Ag", "In"],
  "fractional_positions": [[0.500, 0.500, 0.895], [0.500, 0.500, 0.304], [0.500, 0.500, 0.500], [0.500, 0.500, 0.105], [0.500, 0.500, 0.696], [0.000, 0.000, 0.402], [0.000, 0.000, 0.794], [0.000, 0.000, 0.206], [0.000, 0.000, 0.598], [0.000, 0.000, 0.000]]
}

---

{
  "formula": "Ba3CdBr2Cl6",
  "functional": "PBE",
  "state": "optimized geometry",
  "raw_formation_energy_ev_per_fu": -24.0,
  "space_group": "No. 12",
  "mass_density_g_cm3": 3.28,
  "total_magnetization_mub_per_fu": 0.001,
  "cell": [[-6.093, 1.340, 2.260], [-3.512, -3.168, -7.591], [1.044, -5.339, 7.014]],
  "species": ["Cl", "Cl", "Cl", "Cl", "Cl", "Cl", "Ba", "Ba", "Ba", "Br", "Br", "Cd"],
  "fractional_positions": [[0.280, 0.168, 0.865], [0.720, 0.832, 0.135], [0.280, 0.697, 0.865], [0.290, 0.149, 0.297], [0.710, 0.851, 0.703], [0.720, 0.303, 0.135], [0.500, 0.500, 0.500], [0.000, 0.500, 0.000], [0.500, 0.000, 0.500], [0.188, 0.689, 0.378], [0.812, 0.311, 0.622], [0.500, 0.000, 0.000]]
}

---

{
  "formula": "Pm4YGa5",
  "functional": "PBE",
  "state": "optimized geometry",
  "final_energy_ev_per_atom": -4.638,
  "space_group": "No. 123",
  "mass_density_g_cm3": 6.96,
  "total_magnetization_mub_per_fu": 0.000,
  "cell": [[-0.603, 2.936, 2.074], [-2.602, -1.808, 1.803], [12.441, -5.928, 12.005]],
  "species": ["Ga", "Ga", "Ga", "Ga", "Ga", "Pm", "Pm", "Pm", "Pm", "Y"],
  "fractional_positions": [[0.500, 0.500, 0.500], [0.500, 0.500, 0.094], [0.500, 0.500, 0.702], [0.500, 0.500, 0.906], [0.500, 0.500, 0.298], [0.000, 0.000, 0.804], [0.000, 0.000, 0.399], [0.000, 0.000, 0.196], [0.000, 0.000, 0.601], [0.000, 0.000, 0.000]]
}

---

{
  "formula": "ThZnGe2",
  "functional": "PBE",
  "state": "optimized geometry",
  "final_energy_ev_per_atom": -4.995,
  "space_group": "No. 139",
  "mass_density_g_cm3": 8.63,
  "total_magnetization_mub_per_fu": 0.000,
  "cell": [[4.014, 0.000, -0.816], [-0.166, 4.010, -0.816], [0.056, 0.058, 10.557]],
  "species": ["Ge", "Ge", "Ge", "Ge", "Th", "Th", "Zn", "Zn"],
  "fractional_positions": [[0.500, 0.000, 0.000], [0.000, 0.500, 0.000], [0.667, 0.667, 0.335], [0.333, 0.333, 0.665], [0.114, 0.114, 0.229], [0.886, 0.886, 0.771], [0.250, 0.750, 0.500], [0.750, 0.250, 0.500]]
}

---

{
  "formula": "Al2ReOs",
  "functional": "PBE",
  "state": "optimized geometry",
  "relative_energy_mev_per_atom": 50,
  "space_group": "No. 225",
  "mass_density_g_cm3": 12.75,
  "total_magnetization_mub_per_fu": 0.000,
  "cell": [[0.000, 3.037, 3.037], [3.037, 0.000, 3.037], [3.037, 3.037, 0.000]],
  "species": ["Re", "Os", "Al", "Al"],
  "fractional_positions": [[0.000, 0.000, 0.000], [0.500, 0.500, 0.500], [0.750, 0.750, 0.750], [0.250, 0.250, 0.250]]
}

---

{
  "formula": "BeNi2W",
  "functional": "PBE",
  "state": "optimized geometry",
  "final_energy_ev_per_atom": -6.973,
  "space_group": "No. 123",
  "mass_density_g_cm3": 10.66,
  "total_magnetization_mub_per_fu": 0.000,
  "cell": [[4.300, 0.000, 0.000], [0.000, 4.300, 0.000], [0.000, 0.000, 2.614]],
  "species": ["Ni", "Ni", "Be", "W"],
  "fractional_positions": [[0.000, 0.000, 0.000], [0.500, 0.500, 0.000], [0.000, 0.500, 0.500], [0.500, 0.000, 0.500]]
}

---

{
  "formula": "Hf3Ti2Sn",
  "functional": "PBE",
  "state": "optimized geometry",
  "relative_energy_mev_per_atom": 39,
  "space_group": "No. 26",
  "mass_density_g_cm3": 10.13,
  "total_magnetization_mub_per_fu": 0.000,
  "cell": [[-3.463, -1.932, 2.946], [-0.552, -4.300, -3.470], [6.331, -4.459, 4.518]],
  "species": ["Hf", "Hf", "Hf", "Hf", "Hf", "Hf", "Sn", "Sn", "Ti", "Ti", "Ti", "Ti"],
  "fractional_positions": [[0.500, 0.140, 0.734], [0.000, 0.394, 0.429], [0.500, 0.640, 0.266], [0.500, 0.655, 0.915], [0.500, 0.155, 0.085], [0.000, 0.894, 0.571], [0.000, 0.468, 0.093], [0.000, 0.968, 0.907], [0.000, 0.947, 0.240], [0.500, 0.096, 0.412], [0.000, 0.447, 0.760], [0.500, 0.596, 0.588]]
}

---

{
  "formula": "La3NdInNi",
  "functional": "PBE",
  "state": "optimized geometry",
  "final_energy_ev_per_atom": -4.882,
  "space_group": "No. 12",
  "mass_density_g_cm3": 6.61,
  "total_magnetization_mub_per_fu": 0.000,
  "cell": [[-4.221, 6.097, -1.080], [-2.377, 2.112, -6.786], [-6.584, -4.117, 0.746]],
  "species": ["Ni", "Ni", "In", "In", "La", "La", "La", "La", "La", "La", "Nd", "Nd"],
  "fractional_positions": [[0.971, 0.971, 0.196], [0.029, 0.029, 0.804], [0.342, 0.342, 0.257], [0.658, 0.658, 0.743], [0.892, 0.360, 0.084], [0.785, 0.785, 0.372], [0.108, 0.640, 0.916], [0.640, 0.108, 0.916], [0.360, 0.892, 0.084], [0.215, 0.215, 0.628], [0.261, 0.739, 0.500], [0.739, 0.261, 0.500]]
}

---

{
  "formula": "Zn6IrPt5",
  "functional": "PBE",
  "state": "optimized geometry",
  "final_energy_ev_per_atom": -4.386,
  "space_group": "No. 10",
  "mass_density_g_cm3": 14.87,
  "total_magnetization_mub_per_fu": 0.000,
  "cell": [[4.487, 0.002, -0.527], [-0.003, 5.795, -0.001], [-0.275, 0.001, 6.733]],
  "species": ["Zn", "Zn", "Zn", "Zn", "Zn", "Zn", "Pt", "Pt", "Pt", "Pt", "Pt", "Ir"],
  "fractional_positions": [[0.167, 0.247, 0.329], [0.833, 0.247, 0.671], [0.167, 0.753, 0.329], [0.500, 0.753, 0.000], [0.500, 0.247, 0.000], [0.833, 0.753, 0.671], [0.668, 0.000, 0.334], [0.670, 0.500, 0.337], [0.332, 0.000, 0.666], [0.000, 0.500, 0.000], [0.330, 0.500, 0.663], [0.000, 0.000, 0.000]]
}

---

{
  "formula": "SmTmAgBi",
  "functional": "PBE",
  "state": "optimized geometry",
  "final_energy_ev_per_atom": -4.384,
  "space_group": "No. 216",
  "mass_density_g_cm3": 9.91,
  "total_magnetization_mub_per_fu": 0.642,
  "cell": [[5.321, 0.000, 0.000], [2.661, 4.608, 0.000], [2.661, 1.536, 4.345]],
  "species": ["Ag", "Bi", "Sm", "Tm"],
  "fractional_positions": [[0.000, 0.000, 0.000], [0.500, 0.500, 0.500], [0.250, 0.250, 0.250], [0.750, 0.750, 0.750]]
}

---

{
  "formula": "NaPaGa2",
  "functional": "PBE",
  "state": "optimized geometry",
  "relative_energy_mev_per_atom": 8,
  "space_group": "No. 123",
  "mass_density_g_cm3": 7.50,
  "total_magnetization_mub_per_fu": 0.158,
  "cell": [[3.133, 0.000, 0.000], [0.000, 3.133, 0.000], [0.000, 0.000, 8.874]],
  "species": ["Na", "Ga", "Ga", "Pa"],
  "fractional_positions": [[0.500, 0.500, 0.500], [0.000, 0.000, 0.756], [0.000, 0.000, 0.244], [0.500, 0.500, 0.000]]
}